[1]
# CoNi3

Crystalline CoNi3 at its relaxed geometry (GGA-PBE, Alexandria via LeMat-Bulk).

Unit cell a=2.4733 b=2.4733 c=7.0939 alpha=90.00 beta=90.00 gamma=90.00
Site moments in Bohr magnetons follow the coordinates.
Element x y z (fractional)
Ni 0.5000 0.5000 0.2480  0.66
Ni 0.0000 0.0000 0.5000  0.52
Ni 0.5000 0.5000 0.7520  0.66
Co 0.0000 0.0000 0.0000  1.72

Calculated density (Mg/m³): 8.99
Total energy (eV/atom): -6.12

[2]
# Co5Ni

Crystalline Co5Ni at its relaxed geometry (GGA-PBE, Alexandria via LeMat-Bulk).

Unit cell a=4.7394 b=4.7394 c=9.5383 alpha=140.67 beta=140.67 gamma=30.68
Site moments in Bohr magnetons follow the coordinates.
Element x y z (fractional)
Ni 0.7782 0.7782 0.0565  0.76
Co 0.4462 0.4462 0.3910  1.62
Co 0.3332 0.3332 0.6661  1.63
Co 0.9992 0.9992 0.9992  1.66
Co 0.1092 0.1092 0.7204  1.62
Co 0.6674 0.6674 0.3335  1.65

Calculated density (Mg/m³): 8.99
Polymorph energy (0 for the lowest one) (eV per formula unit): 0.08
Total energy (eV/atom): -6.88

[3]
# Co7Ni

Crystalline Co7Ni at its relaxed geometry (GGA-PBE, Alexandria via LeMat-Bulk).

Unit cell a=4.9872 b=4.9872 c=4.9872 alpha=60.00 beta=60.00 gamma=60.00
Site moments in Bohr magnetons follow the coordinates.
Element x y z (fractional)
Co 0.5000 0.5000 0.0000  1.75
Co 0.0000 0.0000 0.5000  1.75
Co 0.5000 0.5000 0.5000  1.70
Co 0.5000 0.0000 0.5000  1.75
Co 0.0000 0.5000 0.0000  1.75
Co 0.5000 0.0000 0.0000  1.75
Co 0.0000 0.5000 0.5000  1.75
Ni 0.0000 0.0000 0.0000  0.78

Calculated density (Mg/m³): 8.92
Total energy (eV/atom): -6.93

[4]
# Co3Ni

Crystalline Co3Ni at its relaxed geometry (GGA-PBE, Alexandria via LeMat-Bulk).

Unit cell a=4.9952 b=4.0294 c=4.3211 alpha=90.00 beta=90.00 gamma=90.00
Site moments in Bohr magnetons follow the coordinates.
Element x y z (fractional)
Co 0.7490 0.5000 0.8331  1.68
Co 0.7510 0.0000 0.1669  1.68
Co 0.2490 0.0000 0.1669  1.68
Co 0.5000 0.0000 0.6695  1.66
Co 0.0000 0.5000 0.3305  1.66
Co 0.2510 0.5000 0.8331  1.68
Ni 0.0000 0.0000 0.6671  0.72
Ni 0.5000 0.5000 0.3329  0.72

Calculated density (Mg/m³): 8.99
Total energy (eV/atom): -6.80

[5]
# Np3CoNi8

Crystalline Np3CoNi8 at its relaxed geometry (GGA-PBE, Alexandria via LeMat-Bulk).

Unit cell a=4.8983 b=4.8983 c=8.5143 alpha=73.28 beta=73.28 gamma=60.00
Site moments in Bohr magnetons follow the coordinates.
Element x y z (fractional)
Np 0.0060 0.0060 0.9821  3.43
Np 0.4960 0.4960 0.5119  3.30
Np 0.6224 0.6224 0.1327  3.56
Co 0.1278 0.1278 0.6165  -1.59
Ni 0.5572 0.0617 0.3194  -0.09
Ni 0.5643 0.5643 0.8073  -0.18
Ni 0.8120 0.8120 0.5639  -0.28
Ni 0.5643 0.0641 0.8073  -0.18
Ni 0.0617 0.0617 0.3194  -0.09
Ni 0.0617 0.5572 0.3194  -0.09
Ni 0.0641 0.5643 0.8073  -0.18
Ni 0.3123 0.3123 0.0630  -0.06

Calculated density (Mg/m³): 12.33
Total energy (eV/atom): -7.78

[6]
# NpCo2Ni

Crystalline NpCo2Ni at its relaxed geometry (GGA-PBE, Alexandria via LeMat-Bulk).

Unit cell a=3.6456 b=3.8338 c=3.8338 alpha=90.00 beta=90.00 gamma=90.00
Site moments in Bohr magnetons follow the coordinates.
Element x y z (fractional)
Ni 0.5000 0.0000 0.0000  -0.06
Np 0.5000 0.5000 0.5000  2.63
Co 0.0000 0.0000 0.5000  -0.64
Co 0.0000 0.5000 0.0000  -0.64

Calculated density (Mg/m³): 12.82
Polymorph energy (0 for the lowest one) (eV per formula unit): 0.00
Total energy (eV/atom): -8.27

[7]
# NpCo4Ni

Crystalline NpCo4Ni at its relaxed geometry (GGA-PBE, Alexandria via LeMat-Bulk).

Unit cell a=4.8136 b=4.8136 c=4.8136 alpha=60.00 beta=60.00 gamma=60.00
Site moments in Bohr magnetons follow the coordinates.
Element x y z (fractional)
Co 0.6262 0.1215 0.6262  1.40
Co 0.6262 0.6262 0.6262  1.40
Co 0.1215 0.6262 0.6262  1.40
Co 0.6262 0.6262 0.1215  1.40
Np 0.2500 0.2500 0.2500  -3.31
Ni 0.0000 0.0000 0.0000  0.70

Calculated density (Mg/m³): 11.19
Total energy (eV/atom): -7.84

[8]
# Np2Co15Ni2

Crystalline Np2Co15Ni2 at its relaxed geometry (GGA-PBE, Alexandria via LeMat-Bulk).

Unit cell a=6.2296 b=6.2296 c=6.2296 alpha=82.81 beta=82.81 gamma=82.81
Site moments in Bohr magnetons follow the coordinates.
Element x y z (fractional)
Co 0.3495 0.8485 0.3495  1.45
Co 0.2918 0.7082 0.0000  1.52
Co 0.7082 0.0000 0.2918  1.52
Co 0.6505 0.6505 0.1515  1.45
Co 0.1515 0.6505 0.6505  1.45
Co 0.0000 0.7082 0.2918  1.52
Co 0.2918 0.0000 0.7082  1.52
Co 0.0000 0.5000 0.0000  1.50
Co 0.7082 0.2918 0.0000  1.52
Co 0.5000 0.0000 0.0000  1.50
Co 0.0000 0.0000 0.5000  1.50
Co 0.6505 0.1515 0.6505  1.45
Co 0.3495 0.3495 0.8485  1.45
Co 0.0000 0.2918 0.7082  1.52
Co 0.8485 0.3495 0.3495  1.45
Np 0.3408 0.3408 0.3408  -3.71
Np 0.6592 0.6592 0.6592  -3.71
Ni 0.1005 0.1005 0.1005  0.57
Ni 0.8995 0.8995 0.8995  0.57

Calculated density (Mg/m³): 10.36
Total energy (eV/atom): -7.61

[9]
# NpCo2Ni

Crystalline NpCo2Ni at its relaxed geometry (GGA-PBE, Alexandria via LeMat-Bulk).

Unit cell a=4.2307 b=4.2307 c=4.3057 alpha=60.58 beta=60.58 gamma=60.00
Site moments in Bohr magnetons follow the coordinates.
Element x y z (fractional)
Ni 0.0000 0.0000 0.0000  0.07
Co 0.7634 0.7634 0.7098  -0.45
Co 0.2366 0.2366 0.2902  -0.45
Np 0.5000 0.5000 0.5000  3.06

Calculated density (Mg/m³): 12.49
Polymorph energy (0 for the lowest one) (eV per formula unit): 0.56
Total energy (eV/atom): -8.13